(1)
# Pr2IrRh3, relaxed, DFT PBE-GGA
data_Pr2IrRh3
_chemical_formula_sum 'Pr6 Ir3 Rh9'
_cell_length_a 5.4477
_cell_length_b 5.4477
_cell_length_c 13.3227
_cell_angle_alpha 90.00
_cell_angle_beta 90.00
_cell_angle_gamma 120.00
_space_group_name_H-M_alt 'R -3 m'
_space_group_IT_number 166
_space_group_name_Hall '-R 3 2"'
loop_
_atom_site_label
_atom_site_fract_x
_atom_site_fract_y
_atom_site_fract_z
Pr1 0.0000 0.0000 0.1255
Ir1 0.0000 0.0000 0.5000
Rh1 0.0000 0.5000 0.0000
# ΔH_f (0 K) = -642 meV per atom
# Energy relative to the lowest polymorph listed for this composition = 0 meV per atom

=====

(2)
# PrIr2Rh4, relaxed, DFT PBE-GGA
data_PrIr2Rh4
_chemical_formula_sum 'Pr2 Ir4 Rh8'
_cell_length_a 8.478
_cell_length_b 6.680
_cell_length_c 5.231
_cell_angle_alpha 90.00
_cell_angle_beta 128.01
_cell_angle_gamma 90.00
_space_group_name_H-M_alt 'C 1 2/m 1'
_space_group_IT_number 12
_space_group_name_Hall '-C 2y'
loop_
_atom_site_label
_atom_site_fract_x
_atom_site_fract_y
_atom_site_fract_z
Pr1 0.000 0.000 0.000
Ir1 0.001 0.500 0.751
Rh1 0.198 0.198 0.698
# ΔH_f (0 K) = -229 meV per atom

=====

(3)
# PrIr2Rh5, relaxed, DFT PBE-GGA
data_PrIr2Rh5
_chemical_formula_sum 'Pr2 Ir4 Rh10'
_cell_length_a 3.909
_cell_length_b 7.529
_cell_length_c 9.567
_cell_angle_alpha 90.00
_cell_angle_beta 90.00
_cell_angle_gamma 90.00
_space_group_name_H-M_alt 'I m m m'
_space_group_IT_number 71
_space_group_name_Hall '-I 2 2'
loop_
_atom_site_label
_atom_site_fract_x
_atom_site_fract_y
_atom_site_fract_z
Pr1 0.000 0.000 0.000
Ir1 0.000 0.500 0.262
Rh1 0.000 0.183 0.349
Rh2 0.000 0.500 0.000
# ΔH_f (0 K) = 10 meV per atom

=====

(4)
# Pr2IrRh, relaxed, DFT PBE-GGA
data_Pr2IrRh
_chemical_formula_sum 'Pr4 Ir2 Rh2'
_cell_length_a 5.871
_cell_length_b 4.272
_cell_length_c 8.079
_cell_angle_alpha 90.00
_cell_angle_beta 110.16
_cell_angle_gamma 90.00
_space_group_name_H-M_alt 'P 1 21/m 1'
_space_group_IT_number 11
_space_group_name_Hall '-P 2yb'
loop_
_atom_site_label
_atom_site_fract_x
_atom_site_fract_y
_atom_site_fract_z
Pr1 0.214 0.250 0.425
Pr2 0.214 0.250 0.932
Ir1 0.343 0.750 0.211
Rh1 0.334 0.750 0.708
# ΔH_f (0 K) = -623 meV per atom

=====

(5)
# PrIrRh2, relaxed, DFT PBE-GGA
data_PrIrRh2
_chemical_formula_sum 'Pr2 Ir2 Rh4'
_cell_length_a 5.424
_cell_length_b 6.583
_cell_length_c 4.546
_cell_angle_alpha 90.00
_cell_angle_beta 90.00
_cell_angle_gamma 90.00
_space_group_name_H-M_alt 'C m m m'
_space_group_IT_number 65
_space_group_name_Hall '-C 2 2'
loop_
_atom_site_label
_atom_site_fract_x
_atom_site_fract_y
_atom_site_fract_z
Pr1 0.000 0.000 0.000
Ir1 0.000 0.500 0.000
Rh1 0.000 0.306 0.500
# ΔH_f (0 K) = 38 meV per atom
# Energy relative to the lowest polymorph listed for this composition = 495 meV per atom

=====

(6)
# Pr6IrRh2, relaxed, DFT PBE-GGA
data_Pr6IrRh2
_chemical_formula_sum 'Pr12 Ir2 Rh4'
_cell_length_a 6.899
_cell_length_b 7.483
_cell_length_c 12.159
_cell_angle_alpha 90.00
_cell_angle_beta 120.80
_cell_angle_gamma 90.00
_space_group_name_H-M_alt 'P 1 21/c 1'
_space_group_IT_number 14
_space_group_name_Hall '-P 2ybc'
loop_
_atom_site_label
_atom_site_fract_x
_atom_site_fract_y
_atom_site_fract_z
Pr1 0.081 0.058 0.251
Pr2 0.258 0.677 0.081
Pr3 0.403 0.181 0.069
Ir1 0.000 0.000 0.000
Rh1 0.323 0.113 0.774
# ΔH_f (0 K) = -473 meV per atom

=====

(7)
# PrIr2Rh2, relaxed, DFT PBE-GGA
data_PrIr2Rh2
_chemical_formula_sum 'Pr4 Ir8 Rh8'
_cell_length_a 4.177
_cell_length_b 4.177
_cell_length_c 21.750
_cell_angle_alpha 90.00
_cell_angle_beta 90.00
_cell_angle_gamma 90.00
_space_group_name_H-M_alt 'I 4/m m m'
_space_group_IT_number 139
_space_group_name_Hall '-I 4 2'
loop_
_atom_site_label
_atom_site_fract_x
_atom_site_fract_y
_atom_site_fract_z
Pr1 0.000 0.000 0.119
Ir1 0.000 0.000 0.320
Ir2 0.000 0.500 0.000
Rh1 0.000 0.000 0.428
Rh2 0.000 0.500 0.250
# ΔH_f (0 K) = -171 meV per atom

=====

(8)
# Pr2IrRh3, relaxed, DFT PBE-GGA
data_Pr2IrRh3
_chemical_formula_sum 'Pr4 Ir2 Rh6'
_cell_length_a 4.858
_cell_length_b 5.380
_cell_length_c 9.493
_cell_angle_alpha 90.00
_cell_angle_beta 90.00
_cell_angle_gamma 90.00
_space_group_name_H-M_alt 'I m m m'
_space_group_IT_number 71
_space_group_name_Hall '-I 2 2'
loop_
_atom_site_label
_atom_site_fract_x
_atom_site_fract_y
_atom_site_fract_z
Pr1 0.000 0.000 0.186
Ir1 0.000 0.000 0.500
Rh1 0.000 0.500 0.136
Rh2 0.000 0.500 0.500
# ΔH_f (0 K) = -137 meV per atom
# Energy relative to the lowest polymorph listed for this composition = 505 meV per atom

=====

(9)
# Pr6Ir2Rh, relaxed, DFT PBE-GGA
data_Pr6Ir2Rh
_chemical_formula_sum 'Pr12 Ir4 Rh2'
_cell_length_a 6.940
_cell_length_b 7.462
_cell_length_c 12.051
_cell_angle_alpha 90.00
_cell_angle_beta 120.48
_cell_angle_gamma 90.00
_space_group_name_H-M_alt 'P 1 21/c 1'
_space_group_IT_number 14
_space_group_name_Hall '-P 2ybc'
loop_
_atom_site_label
_atom_site_fract_x
_atom_site_fract_y
_atom_site_fract_z
Pr1 0.081 0.058 0.251
Pr2 0.262 0.678 0.084
Pr3 0.398 0.181 0.066
Ir1 0.325 0.112 0.778
Rh1 0.000 0.000 0.000
# ΔH_f (0 K) = -478 meV per atom

=====

(10)
# Pr4Ir2Rh, relaxed, DFT PBE-GGA
data_Pr4Ir2Rh
_chemical_formula_sum 'Pr16 Ir8 Rh4'
_cell_length_a 13.631
_cell_length_b 8.608
_cell_length_c 9.439
_cell_angle_alpha 90.00
_cell_angle_beta 133.83
_cell_angle_gamma 90.00
_space_group_name_H-M_alt 'C 1 2 1'
_space_group_IT_number 5
_space_group_name_Hall 'C 2y'
loop_
_atom_site_label
_atom_site_fract_x
_atom_site_fract_y
_atom_site_fract_z
Pr1 0.044 0.000 0.293
Pr2 0.044 0.421 0.295
Pr3 0.218 0.709 0.167
Pr4 0.218 0.710 0.769
Ir1 0.000 0.210 0.500
Ir2 0.000 0.211 0.000
Ir3 0.250 0.459 0.999
Rh1 0.209 0.710 0.459
# ΔH_f (0 K) = -479 meV per atom
# Energy relative to the lowest polymorph listed for this composition = 96 meV per atom

=====

(11)
# Pr2IrRh, relaxed, DFT PBE-GGA
data_Pr2IrRh
_chemical_formula_sum 'Pr8 Ir4 Rh4'
_cell_length_a 7.144
_cell_length_b 7.144
_cell_length_c 7.144
_cell_angle_alpha 90.00
_cell_angle_beta 90.00
_cell_angle_gamma 90.00
_space_group_name_H-M_alt 'F m -3 m'
_space_group_IT_number 225
_space_group_name_Hall '-F 4 2 3'
loop_
_atom_site_label
_atom_site_fract_x
_atom_site_fract_y
_atom_site_fract_z
Pr1 0.250 0.250 0.250
Ir1 0.000 0.000 0.000
Rh1 0.000 0.000 0.500
# ΔH_f (0 K) = -565 meV per atom

=====

(12)
# Pr4IrRh, relaxed, DFT PBE-GGA
data_Pr4IrRh
_chemical_formula_sum 'Pr8 Ir2 Rh2'
_cell_length_a 7.130
_cell_length_b 7.134
_cell_length_c 7.132
_cell_angle_alpha 90.00
_cell_angle_beta 90.23
_cell_angle_gamma 90.00
_space_group_name_H-M_alt 'P 1 21/c 1'
_space_group_IT_number 14
_space_group_name_Hall '-P 2ybc'
loop_
_atom_site_label
_atom_site_fract_x
_atom_site_fract_y
_atom_site_fract_z
Pr1 0.167 0.168 0.169
Pr2 0.331 0.669 0.167
Ir1 0.000 0.000 0.500
Rh1 0.500 0.000 0.000
# ΔH_f (0 K) = -472 meV per atom
# Energy relative to the lowest polymorph listed for this composition = 0 meV per atom

=====

(13)
# Pr3IrRh8, relaxed, DFT PBE-GGA
data_Pr3IrRh8
_chemical_formula_sum 'Pr9 Ir3 Rh24'
_cell_length_a 5.3707
_cell_length_b 5.3707
_cell_length_c 26.4427
_cell_angle_alpha 90.00
_cell_angle_beta 90.00
_cell_angle_gamma 120.00
_space_group_name_H-M_alt 'R 3 m'
_space_group_IT_number 160
_space_group_name_Hall 'R 3 -2"'
loop_
_atom_site_label
_atom_site_fract_x
_atom_site_fract_y
_atom_site_fract_z
Pr1 0.0000 0.0000 0.0000
Pr2 0.0000 0.0000 0.1312
Pr3 0.0000 0.0000 0.5201
Ir1 0.0000 0.0000 0.6511
Rh1 0.0000 0.0000 0.3171
Rh2 0.0000 0.0000 0.8186
Rh3 0.0007 0.5004 0.5702
Rh4 0.0017 0.5008 0.0666
# ΔH_f (0 K) = -353 meV per atom

=====

(14)
# Pr4Ir2Rh, relaxed, DFT PBE-GGA
data_Pr4Ir2Rh
_chemical_formula_sum 'Pr16 Ir8 Rh4'
_cell_length_a 8.939
_cell_length_b 8.939
_cell_length_c 8.964
_cell_angle_alpha 90.00
_cell_angle_beta 90.00
_cell_angle_gamma 90.00
_space_group_name_H-M_alt 'I -4 2 d'
_space_group_IT_number 122
_space_group_name_Hall 'I -4 2bw'
loop_
_atom_site_label
_atom_site_fract_x
_atom_site_fract_y
_atom_site_fract_z
Pr1 0.062 0.689 0.435
Ir1 0.127 0.750 0.125
Rh1 0.000 0.000 0.500
# ΔH_f (0 K) = -575 meV per atom
# Energy relative to the lowest polymorph listed for this composition = 0 meV per atom

=====

(15)
# Pr2IrRh, relaxed, DFT PBE-GGA
data_Pr2IrRh
_chemical_formula_sum 'Pr2 Ir1 Rh1'
_cell_length_a 4.996
_cell_length_b 4.996
_cell_length_c 3.652
_cell_angle_alpha 90.00
_cell_angle_beta 90.00
_cell_angle_gamma 90.00
_space_group_name_H-M_alt 'P 4/m m m'
_space_group_IT_number 123
_space_group_name_Hall '-P 4 2'
loop_
_atom_site_label
_atom_site_fract_x
_atom_site_fract_y
_atom_site_fract_z
Pr1 0.000 0.500 0.000
Ir1 0.000 0.000 0.500
Rh1 0.500 0.500 0.500
# ΔH_f (0 K) = -550 meV per atom

=====

(16)
# PrIr2Rh3, relaxed, DFT PBE-GGA
data_PrIr2Rh3
_chemical_formula_sum 'Pr6 Ir12 Rh18'
_cell_length_a 5.6707
_cell_length_b 5.6707
_cell_length_c 21.4543
_cell_angle_alpha 90.00
_cell_angle_beta 90.00
_cell_angle_gamma 120.00
_space_group_name_H-M_alt 'R -3 m'
_space_group_IT_number 166
_space_group_name_Hall '-R 3 2"'
loop_
_atom_site_label
_atom_site_fract_x
_atom_site_fract_y
_atom_site_fract_z
Pr1 0.0000 0.0000 0.2155
Ir1 0.0000 0.0000 0.0000
Ir2 0.0000 0.5000 0.0000
Rh1 0.0099 0.5049 0.2311
# ΔH_f (0 K) = -133 meV per atom
# Energy relative to the lowest polymorph listed for this composition = 83 meV per atom

=====

(17)
# PrIrRh2, relaxed, DFT PBE-GGA
data_PrIrRh2
_chemical_formula_sum 'Pr9 Ir9 Rh18'
_cell_length_a 5.3699
_cell_length_b 5.3699
_cell_length_c 26.6168
_cell_angle_alpha 90.00
_cell_angle_beta 90.00
_cell_angle_gamma 120.00
_space_group_name_H-M_alt 'R -3 m'
_space_group_IT_number 166
_space_group_name_Hall '-R 3 2"'
loop_
_atom_site_label
_atom_site_fract_x
_atom_site_fract_y
_atom_site_fract_z
Pr1 0.0000 0.0000 0.0000
Pr2 0.0000 0.0000 0.1391
Ir1 0.0000 0.0000 0.3322
Ir2 0.0000 0.0000 0.5000
Rh1 0.0035 0.5017 0.0809
# ΔH_f (0 K) = -457 meV per atom
# Energy relative to the lowest polymorph listed for this composition = 0 meV per atom

=====

(18)
# PrIrRh4, relaxed, DFT PBE-GGA
data_PrIrRh4
_chemical_formula_sum 'Pr2 Ir2 Rh8'
_cell_length_a 7.832
_cell_length_b 4.009
_cell_length_c 6.819
_cell_angle_alpha 90.00
_cell_angle_beta 90.00
_cell_angle_gamma 90.00
_space_group_name_H-M_alt 'P m m a'
_space_group_IT_number 51
_space_group_name_Hall '-P 2a 2a'
loop_
_atom_site_label
_atom_site_fract_x
_atom_site_fract_y
_atom_site_fract_z
Pr1 0.250 0.000 0.145
Ir1 0.250 0.000 0.729
Rh1 0.000 0.000 0.500
Rh2 0.055 0.500 0.806
Rh3 0.250 0.500 0.474
# ΔH_f (0 K) = -107 meV per atom

=====

(19)
# Pr4IrRh, relaxed, DFT PBE-GGA
data_Pr4IrRh
_chemical_formula_sum 'Pr16 Ir4 Rh4'
_cell_length_a 9.421
_cell_length_b 14.182
_cell_length_c 7.116
_cell_angle_alpha 90.00
_cell_angle_beta 131.44
_cell_angle_gamma 90.00
_space_group_name_H-M_alt 'C 1 2/c 1'
_space_group_IT_number 15
_space_group_name_Hall '-C 2yc'
loop_
_atom_site_label
_atom_site_fract_x
_atom_site_fract_y
_atom_site_fract_z
Pr1 0.212 0.250 0.210
Pr2 0.248 0.000 0.211
Ir1 0.000 0.125 0.750
Rh1 0.000 0.375 0.250
# ΔH_f (0 K) = -468 meV per atom
# Energy relative to the lowest polymorph listed for this composition = 4 meV per atom

=====

(20)
# Pr4IrRh3, relaxed, DFT PBE-GGA
data_Pr4IrRh3
_chemical_formula_sum 'Pr4 Ir1 Rh3'
_cell_length_a 4.013
_cell_length_b 4.267
_cell_length_c 11.055
_cell_angle_alpha 90.00
_cell_angle_beta 90.00
_cell_angle_gamma 90.00
_space_group_name_H-M_alt 'P m m 2'
_space_group_IT_number 25
_space_group_name_Hall 'P 2 -2'
loop_
_atom_site_label
_atom_site_fract_x
_atom_site_fract_y
_atom_site_fract_z
Pr1 0.000 0.000 0.000
Pr2 0.000 0.500 0.284
Pr3 0.500 0.000 0.498
Pr4 0.500 0.500 0.782
Ir1 0.500 0.000 0.222
Rh1 0.000 0.000 0.725
Rh2 0.000 0.500 0.558
Rh3 0.500 0.500 0.058
# ΔH_f (0 K) = -637 meV per atom

=====

(21)
This record from Alexandria describes a geometry-optimized Pr2Sb4Ir3Rh structure. The functional is PBE-GGA.

CIF file:
```
data_Pr2Sb4Ir3Rh
_chemical_formula_sum 'Pr2 Sb4 Ir3 Rh1'
_cell_length_a 4.575
_cell_length_b 4.575
_cell_length_c 10.526
_cell_angle_alpha 90.00
_cell_angle_beta 90.00
_cell_angle_gamma 90.00
_space_group_name_H-M_alt 'P -4 m 2'
_space_group_IT_number 115
_space_group_name_Hall 'P -4 -2'
loop_
_atom_site_label
_atom_site_fract_x
_atom_site_fract_y
_atom_site_fract_z
Pr1 0.000 0.500 0.245
Sb1 0.000 0.000 0.500
Sb2 0.000 0.500 0.869
Sb3 0.500 0.500 0.500
Ir1 0.000 0.000 0.000
Ir2 0.000 0.500 0.623
Rh1 0.500 0.500 0.000
```

=====

(22)
# PrScIrRh, relaxed, DFT PBE-GGA
data_PrScIrRh
_chemical_formula_sum 'Pr4 Sc4 Ir4 Rh4'
_cell_length_a 6.827
_cell_length_b 6.827
_cell_length_c 6.827
_cell_angle_alpha 90.00
_cell_angle_beta 90.00
_cell_angle_gamma 90.00
_space_group_name_H-M_alt 'F -4 3 m'
_space_group_IT_number 216
_space_group_name_Hall 'F -4 2 3'
loop_
_atom_site_label
_atom_site_fract_x
_atom_site_fract_y
_atom_site_fract_z
Pr1 0.000 0.000 0.000
Sc1 0.000 0.000 0.500
Ir1 0.250 0.250 0.750
Rh1 0.250 0.250 0.250
# ΔH_f (0 K) = -685 meV per atom

=====

(23)
This record from Alexandria describes a geometry-optimized PrSiIrRh structure. The functional is PBE-GGA.

CIF file:
```
data_PrSiIrRh
_chemical_formula_sum 'Pr2 Si2 Ir2 Rh2'
_cell_length_a 4.280
_cell_length_b 3.935
_cell_length_c 9.616
_cell_angle_alpha 90.00
_cell_angle_beta 90.00
_cell_angle_gamma 90.00
_space_group_name_H-M_alt 'A m m 2'
_space_group_IT_number 38
_space_group_name_Hall 'A 2 -2'
loop_
_atom_site_label
_atom_site_fract_x
_atom_site_fract_y
_atom_site_fract_z
Pr1 0.000 0.000 0.000
Si1 0.500 0.000 0.380
Ir1 0.500 0.000 0.746
Rh1 0.000 0.000 0.275
```

=====

N(E_F) in states/eV per cell, matching the order above: 12.753, 23.038, 26.005, 3.065, 12.938, 17.599, 24.402, 12.920, 18.102, 14.384, 5.183, 11.093, 40.760, 16.954, 2.484, 42.748, 40.674, 14.105, 18.071, 3.683, 8.042, 5.883, 5.754
Total magnetization in μB per formula unit, matching the order above: 0.00, 0.00, 0.00, 0.00, 0.00, 0.00, 0.00, 0.78, 0.00, 0.00, 0.00, 0.00, 0.00, 0.00, 0.00, 0.00, 0.00, 0.00, 0.00, 0.00, 0.33, 0.00, 0.00
Final energy in eV per atom, matching the order above: -7.387, -7.644, -7.398, -7.065, -7.048, -6.277, -7.612, -6.882, -6.450, -6.792, -7.008, -6.360, -7.187, -6.888, -6.993, -7.559, -7.543, -7.281, -6.356, -6.891, -6.663, -7.516, -7.093